Record 1
LiNi3 (SCAN, single point on PBEsol structure); crystal system = orthorhombic; ρ = 7.128 Mg/m³; total magnetization = 1.640 μB/cell; DOS at the Fermi energy = 3.92 states/eV per cell; E = -50.6 eV/f.u.
1.0
1.269 -2.037 0.000
1.269 2.037 0.000
0.000 0.000 8.246
Li Ni
1 3
Direct
0.000 0.000 0.000
0.000 0.000 0.500
0.500 0.500 0.255
0.500 0.500 0.745

=====

Record 2
Li4Ni (SCAN, single point on PBEsol structure); crystal system = cubic; ρ = 1.595 Mg/m³; total magnetization = 0.000 μB/cell; DOS at the Fermi energy = 1.42 states/eV per cell; E = -24.5 eV/f.u.
1.0
-2.823 2.823 2.823
2.823 -2.823 2.823
2.823 2.823 -2.823
Li Ni
4 1
Direct
0.000 0.000 0.500
0.000 0.500 0.000
0.500 0.000 0.000
0.500 0.500 0.500
0.000 0.000 0.000

=====

Record 3
LiNi (SCAN, single point on PBEsol structure); crystal system = trigonal; ρ = 5.031 Mg/m³; total magnetization = 0.011 μB/cell; DOS at the Fermi energy = 0.91 states/eV per cell; E = -18.6 eV/f.u.
1.0
1.229 0.709 4.142
-1.229 0.709 4.142
0.000 -1.419 4.142
Li Ni
1 1
Direct
0.000 0.000 0.000
0.500 0.500 0.500

=====

Record 4
Li17Ni12 (SCAN, single point on PBEsol structure); crystal system = cubic; ρ = 3.761 Mg/m³; total magnetization = 3.228 μB/cell; DOS at the Fermi energy = 11.29 states/eV per cell; E = -233.3 eV/f.u.
1.0
-4.494 4.494 4.494
4.494 -4.494 4.494
4.494 4.494 -4.494
Li Ni
17 12
Direct
0.000 0.000 0.000
0.000 0.000 0.645
0.000 0.407 0.686
0.000 0.645 0.000
0.000 0.686 0.407
0.279 0.593 0.593
0.314 0.314 0.721
0.314 0.721 0.314
0.355 0.355 0.355
0.407 0.000 0.686
0.407 0.686 0.000
0.593 0.279 0.593
0.593 0.593 0.279
0.645 0.000 0.000
0.686 0.000 0.407
0.686 0.407 0.000
0.721 0.314 0.314
0.000 0.180 0.357
0.000 0.357 0.180
0.177 0.820 0.820
0.180 0.000 0.357
0.180 0.357 0.000
0.357 0.000 0.180
0.357 0.180 0.000
0.643 0.643 0.823
0.643 0.823 0.643
0.820 0.177 0.820
0.820 0.820 0.177
0.823 0.643 0.643

=====

Record 5
Li5Ni (SCAN, single point on PBEsol structure); crystal system = orthorhombic; ρ = 1.711 Mg/m³; total magnetization = 0.066 μB/cell; DOS at the Fermi energy = 2.07 states/eV per cell; E = -27.5 eV/f.u.
1.0
2.008 -5.701 0.000
2.008 5.701 0.000
0.000 0.000 3.959
Li Ni
5 1
Direct
0.000 0.000 0.000
0.154 0.846 0.500
0.352 0.648 0.000
0.648 0.352 0.000
0.846 0.154 0.500
0.500 0.500 0.500

=====

Record 6
LiNi2 (SCAN, single point on PBEsol structure); crystal system = trigonal; ρ = 6.592 Mg/m³; total magnetization = 1.173 μB/cell; DOS at the Fermi energy = 2.76 states/eV per cell; E = -34.5 eV/f.u.
1.0
3.906 0.000 0.000
-1.953 3.383 0.000
0.000 0.000 2.370
Li Ni
1 2
Direct
0.000 0.000 0.000
0.333 0.667 0.708
0.667 0.333 0.292

=====

Record 7
LiNi3 (SCAN, single point on PBEsol structure); crystal system = trigonal; ρ = 7.326 Mg/m³; total magnetization = 1.578 μB/cell; DOS at the Fermi energy = 4.59 states/eV per cell; E = -50.7 eV/f.u.
1.0
3.889 2.245 0.792
-3.889 2.245 0.792
0.000 -4.490 0.792
Li Ni
1 3
Direct
0.000 0.000 0.000
0.000 0.500 0.500
0.500 0.000 0.500
0.500 0.500 0.000

=====

Record 8
LiNi3 (SCAN, single point on PBEsol structure); crystal system = tetragonal; ρ = 7.360 Mg/m³; total magnetization = 1.854 μB/cell; DOS at the Fermi energy = 2.62 states/eV per cell; E = -50.7 eV/f.u.
1.0
-1.738 1.738 3.417
1.738 -1.738 3.417
1.738 1.738 -3.417
Li Ni
1 3
Direct
0.000 0.000 0.000
0.250 0.750 0.500
0.500 0.500 0.000
0.750 0.250 0.500

=====

Record 9
Li4Ni (SCAN, single point on PBEsol structure); crystal system = tetragonal; ρ = 2.025 Mg/m³; total magnetization = 0.006 μB/cell; DOS at the Fermi energy = 1.66 states/eV per cell; E = -25.1 eV/f.u.
1.0
-3.003 3.003 1.966
3.003 -3.003 1.966
3.003 3.003 -1.966
Li Ni
4 1
Direct
0.108 0.287 0.395
0.287 0.892 0.178
0.713 0.108 0.822
0.892 0.713 0.605
0.500 0.500 0.000

=====

Record 10
LiNi3 (SCAN, single point on PBEsol structure); crystal system = orthorhombic; ρ = 7.268 Mg/m³; total magnetization = 1.781 μB/cell; DOS at the Fermi energy = 3.09 states/eV per cell; E = -50.7 eV/f.u.
1.0
2.405 0.000 0.000
0.000 3.581 0.000
0.000 0.000 4.854
Li Ni
1 3
Direct
0.000 0.000 0.000
0.000 0.000 0.500
0.500 0.500 0.255
0.500 0.500 0.745

=====

Record 11
LiNi3 (SCAN, single point on PBEsol structure); crystal system = monoclinic; ρ = 7.298 Mg/m³; total magnetization = 1.744 μB/cell; DOS at the Fermi energy = 2.95 states/eV per cell; E = -50.8 eV/f.u.
1.0
4.090 -1.211 0.000
4.090 1.211 0.000
-0.660 0.000 4.205
Li Ni
1 3
Direct
0.000 0.000 0.000
0.244 0.244 0.744
0.500 0.500 0.500
0.756 0.756 0.256

=====

Record 12
LiNi (SCAN, single point on PBEsol structure); crystal system = tetragonal; ρ = 4.429 Mg/m³; total magnetization = 1.117 μB/cell; DOS at the Fermi energy = 2.47 states/eV per cell; E = -18.4 eV/f.u.
1.0
2.496 0.000 0.000
0.000 2.496 0.000
0.000 0.000 7.897
Li Ni
2 2
Direct
0.250 0.250 0.164
0.750 0.750 0.836
0.250 0.250 0.602
0.750 0.750 0.398